Mn5SiB2W2 after structural relaxation, computed with PBE.

CIF file:
```
data_Mn5SiB2W2
_chemical_formula_sum 'Mn10 Si2 B4 W4'
_cell_length_a 8.5977
_cell_length_b 8.5977
_cell_length_c 2.8923
_cell_angle_alpha 90.00
_cell_angle_beta 90.00
_cell_angle_gamma 90.00
_space_group_name_H-M_alt 'P 4/m b m'
_space_group_IT_number 127
_space_group_name_Hall '-P 4 2ab'
loop_
_atom_site_label
_atom_site_type_symbol
_atom_site_fract_x
_atom_site_fract_y
_atom_site_fract_z
_atom_site_occupancy
Mn1 Mn 0.0000 0.5000 0.0000 1
Mn2 Mn 0.0654 0.2123 0.0000 1
Si1 Si 0.0000 0.0000 0.5000 1
B1 B 0.1240 0.3760 0.5000 1
W1 W 0.1763 0.6763 0.5000 1
```

E_form (uncorrected)   -0.345 eV per atom
M_tot   0.0 μB/f.u.
Total energy   -9.40 eV/atom

***

TlGaBr2 after structural relaxation, computed with PBE.

CIF file:
```
data_TlGaBr2
_chemical_formula_sum 'Tl1 Ga1 Br2'
_cell_length_a 3.9214
_cell_length_b 3.9214
_cell_length_c 7.8841
_cell_angle_alpha 90.00
_cell_angle_beta 90.00
_cell_angle_gamma 90.00
_space_group_name_H-M_alt 'P 4/m m m'
_space_group_IT_number 123
_space_group_name_Hall '-P 4 2'
loop_
_atom_site_label
_atom_site_type_symbol
_atom_site_fract_x
_atom_site_fract_y
_atom_site_fract_z
_atom_site_occupancy
Tl1 Tl 0.0000 0.0000 0.0000 1
Ga1 Ga 0.0000 0.0000 0.5000 1
Br1 Br 0.5000 0.5000 0.2627 1
```

E_form (uncorrected)   -0.630 eV per atom
M_tot   0.0 μB/f.u.
Total energy   -2.81 eV/atom

***

BaSr3Ir after structural relaxation, computed with PBE.

CIF file:
```
data_BaSr3Ir
_chemical_formula_sum 'Ba4 Sr12 Ir4'
_cell_length_a 6.3337
_cell_length_b 6.3337
_cell_length_c 27.7830
_cell_angle_alpha 90.00
_cell_angle_beta 90.00
_cell_angle_gamma 90.00
_space_group_name_H-M_alt 'I -4 m 2'
_space_group_IT_number 119
_space_group_name_Hall 'I -4 -2'
loop_
_atom_site_label
_atom_site_type_symbol
_atom_site_fract_x
_atom_site_fract_y
_atom_site_fract_z
_atom_site_occupancy
Ba1 Ba 0.0000 0.0000 0.0000 1
Ba2 Ba 0.0000 0.5000 0.2500 1
Sr1 Sr 0.0000 0.0000 0.2953 1
Sr2 Sr 0.0000 0.2376 0.1404 1
Ir1 Ir 0.0000 0.5000 0.7065 1
```

M_tot   1.1 μB/f.u.
Total energy   -2.28 eV/atom
ΔH_f (0 K)   0.8832 eV per atom

***

GaPH9C3Cl3O after structural relaxation, computed with PBE.

CIF file:
```
data_GaPH9C3Cl3O
_chemical_formula_sum 'Ga4 P4 H36 C12 Cl12 O4'
_cell_length_a 8.5099
_cell_length_b 10.6886
_cell_length_c 12.9113
_cell_angle_alpha 90.00
_cell_angle_beta 103.91
_cell_angle_gamma 90.00
_space_group_name_H-M_alt 'C 1 c 1'
_space_group_IT_number 9
_space_group_name_Hall 'C -2yc'
loop_
_atom_site_label
_atom_site_type_symbol
_atom_site_fract_x
_atom_site_fract_y
_atom_site_fract_z
_atom_site_occupancy
Ga1 Ga 0.0000 0.2478 0.0000 1
P1 P 0.3136 0.2507 0.6936 1
H1 H 0.0213 0.3847 0.2912 1
H2 H 0.0364 0.2084 0.6946 1
H3 H 0.0528 0.3161 0.5915 1
H4 H 0.0862 0.1520 0.5760 1
H5 H 0.2732 0.3409 0.8564 1
H6 H 0.2875 0.4568 0.7586 1
H7 H 0.3271 0.0789 0.8145 1
H8 H 0.3739 0.0317 0.6923 1
H9 H 0.4662 0.3801 0.8326 1
C1 C 0.1020 0.2299 0.6331 1
C2 C 0.3368 0.3680 0.7953 1
C3 C 0.3918 0.1051 0.7535 1
Cl1 Cl 0.1330 0.4233 0.0399 1
Cl2 Cl 0.1646 0.0940 0.9870 1
Cl3 Cl 0.3102 0.2336 0.3526 1
O1 O 0.4053 0.2978 0.6113 1
```

M_tot   0.1 μB/f.u.
Total energy   -4.90 eV/atom